No. 1
DFT (PBE+U) results for an optimized crystal structure of PaCrSnO6.

Calculated density = 7.27 g/cm³
Spin magnetization = 6.0 μB/cell
Final energy = -8.01 eV per atom

abc: 5.3750 5.3750 9.0880
angles: 90.00 90.00 120.00
Fractional positions:
Pa 0.3333 0.6667 0.2500
Pa 0.6667 0.3333 0.7500
Cr 0.6667 0.3333 0.2500
Cr 0.3333 0.6667 0.7500
Sn 0.0000 0.0000 0.0000
Sn 0.0000 0.0000 0.5000
O 0.6797 0.6593 0.1286
O 0.9796 0.3203 0.1286
O 0.3203 0.9796 0.6286
O 0.0204 0.6797 0.8714
O 0.3407 0.3203 0.3714
O 0.9796 0.6593 0.3714
O 0.6593 0.9796 0.8714
O 0.6797 0.0204 0.3714
O 0.0204 0.3407 0.6286
O 0.3407 0.0204 0.1286
O 0.6593 0.6797 0.6286
O 0.3203 0.3407 0.8714

=====

No. 2
DFT (PBE+U) results for an optimized crystal structure of Pa2CrSnO8.

Calculated density = 7.45 g/cm³
Spin magnetization = 4.0 μB/cell
Final energy = -8.59 eV per atom

abc: 4.8839 4.8825 7.1204
angles: 91.96 88.02 91.02
Fractional positions:
Pa 0.4891 0.5110 0.7525
Pa 0.5109 0.4890 0.2475
Cr 0.0000 0.0000 0.0000
Sn 0.0000 0.0000 0.5000
O 0.2100 0.7907 0.2844
O 0.6940 0.6936 0.0000
O 0.8212 0.1786 0.2602
O 0.7900 0.2093 0.7156
O 0.3060 0.3064 0.0000
O 0.1788 0.8214 0.7398
O 0.6948 0.6943 0.5000
O 0.3052 0.3057 0.5000

=====

No. 3
DFT (PBE+U) results for an optimized crystal structure of SrPa2CrO8.

Calculated density = 6.89 g/cm³
Spin magnetization = 2.0 μB/cell
Final energy = -8.56 eV per atom

abc: 4.9885 4.9942 7.0605
angles: 89.99 89.99 87.75
Fractional positions:
Sr 0.0000 0.0000 0.5000
Pa 0.4999 0.4998 0.7583
Pa 0.5001 0.5002 0.2417
Cr 0.0000 0.0000 0.0000
O 0.1918 0.8070 0.1992
O 0.7011 0.7017 0.0000
O 0.8079 0.1928 0.1992
O 0.8082 0.1930 0.8008
O 0.2989 0.2983 0.0000
O 0.1921 0.8072 0.8008
O 0.6706 0.6721 0.5001
O 0.3294 0.3279 0.4999

=====

No. 4
DFT (PBE+U) results for an optimized crystal structure of SrPaCrO6.

Calculated density = 6.14 g/cm³
Spin magnetization = 1.0 μB/cell
Final energy = -7.75 eV per atom

abc: 4.7463 5.5433 5.5433
angles: 120.00 90.00 90.00
Fractional positions:
Sr 0.5000 0.6667 0.3333
Pa 0.0000 0.3333 0.6667
Cr 0.5000 0.0000 0.0000
O 0.7402 0.6903 0.7347
O 0.7402 0.2653 0.9556
O 0.7402 0.0444 0.3097
O 0.2598 0.2653 0.3097
O 0.2598 0.6903 0.9556
O 0.2598 0.0444 0.7347

=====

No. 5
DFT (PBE+U) results for an optimized crystal structure of PaCrTe2O8.

Calculated density = 6.20 g/cm³
Spin magnetization = 3.2 μB/cell
Final energy = -6.83 eV per atom

abc: 6.1446 6.1446 6.1446
angles: 110.00 110.00 108.41
Fractional positions:
Pa 0.2500 0.7500 0.5000
Cr 0.0000 0.0000 0.0000
Te 0.7500 0.2500 0.5000
Te 0.5000 0.5000 0.0000
O 0.3509 0.0450 0.3059
O 0.2983 0.4949 0.1966
O 0.2983 0.1017 0.8034
O 0.7392 0.0450 0.6941
O 0.8983 0.7017 0.1966
O 0.9550 0.2608 0.3059
O 0.9550 0.6491 0.6941
O 0.5051 0.7017 0.8034

=====

No. 6
DFT (PBE+U) results for an optimized crystal structure of ThPaCr2O8.

Calculated density = 6.71 g/cm³
Spin magnetization = 5.0 μB/cell
Final energy = -8.66 eV per atom

abc: 6.0741 6.0741 6.0741
angles: 107.95 107.95 112.57
Fractional positions:
Th 0.0000 0.0000 0.0000
Pa 0.2500 0.7500 0.5000
Cr 0.7500 0.2500 0.5000
Cr 0.5000 0.5000 0.0000
O 0.3846 0.0622 0.3224
O 0.3039 0.4968 0.1928
O 0.3039 0.1111 0.8072
O 0.7399 0.0622 0.6776
O 0.8889 0.6961 0.1928
O 0.9378 0.2601 0.3224
O 0.9378 0.6154 0.6776
O 0.5032 0.6961 0.8072

=====

No. 7
DFT (PBE+U) results for an optimized crystal structure of PaTi2CrO8.

Calculated density = 5.83 g/cm³
Spin magnetization = 3.0 μB/cell
Final energy = -8.95 eV per atom

abc: 4.7696 4.7695 6.3432
angles: 90.00 90.00 88.31
Fractional positions:
Pa 0.0000 0.0000 0.5000
Ti 0.4721 0.4721 0.7694
Ti 0.5279 0.5279 0.2306
Cr 0.0000 0.0000 0.0000
O 0.2033 0.7956 0.2331
O 0.6922 0.6922 0.0016
O 0.7956 0.2033 0.2331
O 0.7967 0.2044 0.7669
O 0.3078 0.3078 0.9984
O 0.2044 0.7967 0.7669
O 0.6814 0.6814 0.4835
O 0.3186 0.3186 0.5165

=====

No. 8
DFT (PBE+U) results for an optimized crystal structure of PaTlCrO6.

Calculated density = 8.12 g/cm³
Spin magnetization = 2.0 μB/cell
Final energy = -7.45 eV per atom

abc: 4.7886 5.3626 5.3626
angles: 120.00 90.00 90.00
Fractional positions:
Pa 0.0000 0.3333 0.6667
Tl 0.5000 0.6667 0.3333
Cr 0.5000 0.0000 0.0000
O 0.7366 0.6908 0.7097
O 0.7366 0.2903 0.9811
O 0.7366 0.0189 0.3092
O 0.2634 0.2903 0.3092
O 0.2634 0.6908 0.9811
O 0.2634 0.0189 0.7097

=====

No. 9
DFT (PBE+U) results for an optimized crystal structure of PaTl2CrO6.

Calculated density = 9.20 g/cm³
Spin magnetization = 1.9 μB/cell
Final energy = -7.03 eV per atom

abc: 5.8592 5.8592 5.8592
angles: 60.00 60.00 60.00
Fractional positions:
Pa 0.5000 0.5000 0.5000
Tl 0.7500 0.7500 0.7500
Tl 0.2500 0.2500 0.2500
Cr 0.0000 0.0000 0.0000
O 0.2375 0.7625 0.7625
O 0.2375 0.7625 0.2375
O 0.2375 0.2375 0.7625
O 0.7625 0.7625 0.2375
O 0.7625 0.2375 0.2375
O 0.7625 0.2375 0.7625

=====

No. 10
DFT (PBE+U) results for an optimized crystal structure of Pa2TlCrO8.

Calculated density = 8.26 g/cm³
Spin magnetization = 3.0 μB/cell
Final energy = -8.29 eV per atom

abc: 4.8934 4.8952 7.1038
angles: 90.02 89.97 89.96
Fractional positions:
Pa 0.5002 0.5001 0.7573
Pa 0.4998 0.4999 0.2427
Tl 0.0000 0.0000 0.5000
Cr 0.0000 0.0000 0.0000
O 0.1921 0.8073 0.2237
O 0.6995 0.7002 0.0001
O 0.8080 0.1933 0.2237
O 0.8079 0.1927 0.7763
O 0.3005 0.2998 0.9999
O 0.1920 0.8067 0.7763
O 0.6837 0.6849 0.4998
O 0.3163 0.3151 0.5002

=====

No. 11
DFT (PBE+U) results for an optimized crystal structure of Pa3Tl4CrO12.

Calculated density = 9.16 g/cm³
Spin magnetization = 1.3 μB/cell
Final energy = -7.50 eV per atom

abc: 7.4488 7.4488 7.4488
angles: 109.47 109.47 109.47
Fractional positions:
Pa 0.5000 0.0000 0.5000
Pa 0.5000 0.5000 0.0000
Pa 0.0000 0.5000 0.5000
Tl 0.5000 0.5000 0.5000
Tl 0.0000 0.0000 0.5000
Tl 0.5000 0.0000 0.0000
Tl 0.0000 0.5000 0.0000
Cr 0.0000 0.0000 0.0000
O 0.2500 0.5000 0.7500
O 0.7601 0.0000 0.7601
O 0.2399 0.0000 0.2399
O 0.7500 0.5000 0.2500
O 0.7601 0.7601 0.0000
O 0.2399 0.2399 0.0000
O 0.7500 0.2500 0.5000
O 0.2500 0.7500 0.5000
O 0.5000 0.2500 0.7500
O 0.0000 0.7601 0.7601
O 0.5000 0.7500 0.2500
O 0.0000 0.2399 0.2399

=====

No. 12
DFT (PBE+U) results for an optimized crystal structure of PaTlCr2O8.

Calculated density = 4.75 g/cm³
Spin magnetization = 2.0 μB/cell
Final energy = -7.40 eV per atom

abc: 5.8520 5.8520 7.8723
angles: 90.00 90.00 120.00
Fractional positions:
Pa 0.0000 0.0000 0.0000
Tl 0.0000 0.0000 0.5000
Cr 0.3333 0.6667 0.7552
Cr 0.6667 0.3333 0.2448
O 0.1709 0.3417 0.8347
O 0.1709 0.8291 0.8347
O 0.6583 0.8291 0.8347
O 0.3417 0.1709 0.1653
O 0.6667 0.3333 0.4523
O 0.3333 0.6667 0.5477
O 0.8291 0.6583 0.1653
O 0.8291 0.1709 0.1653

=====

No. 13
DFT (PBE+U) results for an optimized crystal structure of PaTl2CrO8.

Calculated density = 7.05 g/cm³
Spin magnetization = 0.9 μB/cell
Final energy = -6.43 eV per atom

abc: 6.3983 6.3983 6.3983
angles: 116.80 116.80 95.64
Fractional positions:
Pa 0.2500 0.7500 0.5000
Tl 0.7500 0.2500 0.5000
Tl 0.5000 0.5000 0.0000
Cr 0.0000 0.0000 0.0000
O 0.3175 0.0672 0.2502
O 0.3223 0.5357 0.2134
O 0.3223 0.1089 0.7866
O 0.8170 0.0672 0.7498
O 0.8911 0.6777 0.2134
O 0.9328 0.1830 0.2502
O 0.9328 0.6825 0.7498
O 0.4643 0.6777 0.7866

=====

No. 14
DFT (PBE+U) results for an optimized crystal structure of TmPaCr2O8.

Calculated density = 6.49 g/cm³
Spin magnetization = 4.0 μB/cell
Final energy = -8.28 eV per atom

abc: 5.9547 5.9547 5.9547
angles: 107.17 107.17 114.18
Fractional positions:
Tm 0.2500 0.7500 0.5000
Pa 0.0000 0.0000 0.0000
Cr 0.7500 0.2500 0.5000
Cr 0.5000 0.5000 0.0000
O 0.3762 0.0640 0.3122
O 0.3078 0.4904 0.1827
O 0.3078 0.1251 0.8173
O 0.7518 0.0640 0.6878
O 0.8749 0.6922 0.1827
O 0.9360 0.2482 0.3122
O 0.9360 0.6238 0.6878
O 0.5096 0.6922 0.8173

=====

No. 15
DFT (PBE+U) results for an optimized crystal structure of UPaCr2O8.

Calculated density = 7.79 g/cm³
Spin magnetization = 7.0 μB/cell
Final energy = -8.88 eV per atom

abc: 5.2453 5.2453 6.5748
angles: 113.51 113.51 90.00
Fractional positions:
U 0.7500 0.2500 0.5000
Pa 0.0000 0.0000 0.0000
Cr 0.5000 0.5000 0.0000
Cr 0.2500 0.7500 0.5000
O 0.7686 0.8515 0.1631
O 0.3945 0.3115 0.1631
O 0.6189 0.6319 0.6598
O 0.0409 0.0279 0.6598
O 0.9721 0.3811 0.3402
O 0.3681 0.9591 0.3402
O 0.1485 0.6055 0.8369
O 0.6885 0.2314 0.8369

=====

No. 16
DFT (PBE+U) results for an optimized crystal structure of PaVCrO6.

Calculated density = 6.62 g/cm³
Spin magnetization = 4.0 μB/cell
Final energy = -8.58 eV per atom

abc: 4.8097 5.0884 5.0884
angles: 120.00 90.00 90.00
Fractional positions:
Pa 0.0000 0.3333 0.6667
V 0.5000 0.6667 0.3333
Cr 0.5000 0.0000 0.0000
O 0.7276 0.6784 0.6596
O 0.7276 0.3404 0.0188
O 0.7276 0.9812 0.3216
O 0.2724 0.3404 0.3216
O 0.2724 0.6784 0.0188
O 0.2724 0.9812 0.6596

=====

No. 17
DFT (PBE+U) results for an optimized crystal structure of PaV2CrO8.

Calculated density = 4.97 g/cm³
Spin magnetization = 1.0 μB/cell
Final energy = -8.07 eV per atom

abc: 5.8994 5.8994 5.6869
angles: 90.00 90.00 120.00
Fractional positions:
Pa 0.0000 0.0000 0.0000
V 0.6667 0.3333 0.3578
V 0.3333 0.6667 0.6422
Cr 0.0000 0.0000 0.5000
O 0.8404 0.1596 0.2651
O 0.8404 0.6808 0.2651
O 0.3192 0.1596 0.2651
O 0.6808 0.8404 0.7349
O 0.3333 0.6667 0.3558
O 0.6667 0.3333 0.6442
O 0.1596 0.8404 0.7349
O 0.1596 0.3192 0.7349

=====

No. 18
DFT (PBE+U) results for an optimized crystal structure of PaCrWO6.

Calculated density = 8.23 g/cm³
Spin magnetization = 10.0 μB/cell
Final energy = -8.42 eV per atom

abc: 5.4410 5.4410 8.8618
angles: 90.00 90.00 120.00
Fractional positions:
Pa 0.3333 0.6667 0.2500
Pa 0.6667 0.3333 0.7500
Cr 0.0000 0.0000 0.0000
Cr 0.0000 0.0000 0.5000
W 0.6667 0.3333 0.2500
W 0.3333 0.6667 0.7500
O 0.6806 0.6636 0.1254
O 0.9830 0.3194 0.1254
O 0.3194 0.9830 0.6254
O 0.0170 0.6806 0.8746
O 0.3364 0.3194 0.3746
O 0.9830 0.6636 0.3746
O 0.6636 0.9830 0.8746
O 0.6806 0.0170 0.3746
O 0.0170 0.3364 0.6254
O 0.3364 0.0170 0.1254
O 0.6636 0.6806 0.6254
O 0.3194 0.3364 0.8746

=====

No. 19
DFT (PBE+U) results for an optimized crystal structure of Y2PaCrO8.

Calculated density = 5.85 g/cm³
Spin magnetization = 1.0 μB/cell
Final energy = -8.62 eV per atom

abc: 4.9887 4.9889 6.7185
angles: 90.00 90.00 90.95
Fractional positions:
Y 0.5000 0.5000 0.7574
Y 0.5000 0.5000 0.2426
Pa 0.0000 0.0000 0.5000
Cr 0.0000 0.0000 0.0000
O 0.1815 0.8181 0.2288
O 0.7432 0.7437 0.0000
O 0.8185 0.1819 0.2288
O 0.8185 0.1819 0.7712
O 0.2568 0.2563 0.0000
O 0.1815 0.8181 0.7712
O 0.6959 0.6961 0.5000
O 0.3041 0.3039 0.5000

=====

No. 20
DFT (PBE+U) results for an optimized crystal structure of YPaCr2O8.

Calculated density = 5.57 g/cm³
Spin magnetization = 4.0 μB/cell
Final energy = -8.43 eV per atom

abc: 5.9918 5.9918 5.9918
angles: 107.05 107.05 114.43
Fractional positions:
Y 0.2500 0.7500 0.5000
Pa 0.0000 0.0000 0.0000
Cr 0.7500 0.2500 0.5000
Cr 0.5000 0.5000 0.0000
O 0.3782 0.0672 0.3110
O 0.3069 0.4868 0.1799
O 0.3069 0.1270 0.8201
O 0.7563 0.0672 0.6890
O 0.8730 0.6931 0.1799
O 0.9328 0.2437 0.3110
O 0.9328 0.6218 0.6890
O 0.5132 0.6931 0.8201